## YAs2Os (PBE-GGA)

Data for YAs2Os after structural relaxation.

a = 4.512 Å, b = 4.387 Å, c = 4.746 Å
α = 90.00°, β = 105.85°, γ = 90.00°
Space group Pm (No. 6)
Inequivalent atoms, fractional coordinates:
1 Y 0.000 0.000 0.000
2 As 0.412 0.500 0.670
3 As 0.653 0.000 0.407
4 Os 0.478 0.500 0.174

Results
Fermi-level density of states (states/eV/f.u.): 1.9
Formation energy (eV per atom): -0.282